No. 1
This record from OQMD via LeMat-Bulk describes an optimized crystal structure of Nb5Si3P. The functional is PBE.

a b c (Å): 7.803 7.803 5.390
angles (deg): 90.00 90.00 120.00
Fractional coordinates of all 18 atoms:
Si (0.400, 0.400, 0.250)
Nb (0.000, 0.265, 0.250)
Nb (0.265, 0.265, 0.750)
Si (0.000, 0.400, 0.750)
P (0.000, 0.000, 0.000)
Si (0.000, 0.600, 0.250)
Nb (0.333, 0.667, 0.500)
Nb (0.333, 0.667, 0.000)
Si (0.400, 0.000, 0.750)
Si (0.600, 0.600, 0.750)
Nb (0.667, 0.333, 0.000)
Nb (0.000, 0.735, 0.750)
Nb (0.265, 0.000, 0.250)
Si (0.600, 0.000, 0.250)
Nb (0.667, 0.333, 0.500)
Nb (0.735, 0.735, 0.250)
Nb (0.735, 0.000, 0.750)
P (0.000, 0.000, 0.500)



No. 2
This record from OQMD via LeMat-Bulk describes an optimized crystal structure of SmNb2Si2P. The functional is PBE.

a b c (Å): 3.922 3.922 8.004
angles (deg): 90.00 90.00 90.00
Fractional coordinates of all 6 atoms:
P (0.000, 0.000, 0.737)
Sm (0.500, 0.500, 0.349)
Nb (0.000, 0.500, 0.983)
Si (0.500, 0.500, 0.732)
Nb (0.500, 0.000, 0.983)
Si (0.000, 0.000, 0.216)



no.,VASP energy (Ry/atom)
1,-0.6360
2,-0.5277